1.
A plane-wave DFT calculation with PBE was carried out for a relaxed AgTeI crystal.

Properties
* DFT total energy: -2.637 eV/atom
* N(E_F): 0.13 states/eV/cell
* formation energy from raw total energies: -0.37 eV/f.u.

```
data_AgTeI
_cell_length_a 13.174
_cell_length_b 4.327
_cell_length_c 8.637
_cell_angle_alpha 90.00
_cell_angle_beta 120.14
_cell_angle_gamma 90.00
_symmetry_space_group_name_H-M 'C 1 m 1'
_symmetry_Int_Tables_number 8
loop_
_symmetry_equiv_pos_as_xyz
'x,y,z'
'x,-y,z'
'x+1/2,y+1/2,z'
'x+1/2,-y+1/2,z'
loop_
_atom_site_label
_atom_site_type_symbol
_atom_site_fract_x
_atom_site_fract_y
_atom_site_fract_z
Ag1 Ag 0.000 0.000 0.000
Ag2 Ag 0.221 0.000 0.698
Te1 Te 0.321 0.000 0.486
Te2 Te 0.490 0.500 0.672
I1 I 0.096 0.500 0.256
I2 I 0.262 0.500 0.940
```



2.
A plane-wave DFT calculation with PBE was carried out for a relaxed Ag2TeI6 crystal.

Properties
* ΔE to the lowest computed polymorph: 0 meV/atom
* DFT total energy: -2.139 eV/atom
* formation energy from raw total energies: -1.11 eV/f.u.

```
data_Ag2TeI6
_cell_length_a 7.216
_cell_length_b 7.216
_cell_length_c 13.301
_cell_angle_alpha 90.00
_cell_angle_beta 90.00
_cell_angle_gamma 90.00
_symmetry_space_group_name_H-M 'P 42/m n m'
_symmetry_Int_Tables_number 136
_symmetry_space_group_name_Hall '-P 4n 2n'
loop_
_atom_site_label
_atom_site_type_symbol
_atom_site_fract_x
_atom_site_fract_y
_atom_site_fract_z
Ag1 Ag 0.000 0.000 0.164
Te1 Te 0.000 0.000 0.500
I1 I 0.198 0.198 0.334
I2 I 0.200 0.200 0.000
```



Q: The lowest formation energy from raw total energies belongs to which entry?
A: Ag2TeI6



Q: The highest DFT total energy belongs to which entry?
A: Ag2TeI6